# UNiH2O6 PBE+U optimized geometry
# Magnetization in μB/f.u.: 0.070
# Density of states at the Fermi level in states/eV/atom: 0.276
# Final energy in eV per atom: -6.579
data_UNiH2O6
_chemical_formula_sum 'U1 Ni1 H2 O6'
_cell_length_a 5.032
_cell_length_b 5.070
_cell_length_c 5.492
_cell_angle_alpha 62.72
_cell_angle_beta 88.70
_cell_angle_gamma 63.45
_space_group_name_H-M_alt 'P -1'
_space_group_IT_number 2
loop_
_space_group_symop_operation_xyz
'x,y,z'
'-x,-y,-z'
loop_
_atom_site_label
_atom_site_fract_x
_atom_site_fract_y
_atom_site_fract_z
U1 0.000 0.000 0.000
Ni1 0.500 0.000 0.500
H1 0.383 0.545 0.698
O1 0.121 0.123 0.243
O2 0.263 0.126 0.742
O3 0.424 0.456 0.275